No. 1
{
  "formula": "Y2CuGe3Pt4",
  "functional": "PBE",
  "state": "relaxed",
  "sg": "P-4m2, No. 115",
  "lattice": [[4.253, 0.000, 0.000], [0.000, 4.253, 0.000], [0.000, 0.000, 10.252]],
  "species": ["Y", "Y", "Cu", "Ge", "Ge", "Ge", "Pt", "Pt", "Pt", "Pt"],
  "frac_coords": [[0.500, 0.000, 0.259], [0.000, 0.500, 0.741], [0.500, 0.500, 0.500], [0.000, 0.000, 0.500], [0.500, 0.000, 0.865], [0.000, 0.500, 0.135], [0.500, 0.500, 0.000], [0.000, 0.000, 0.000], [0.500, 0.000, 0.632], [0.000, 0.500, 0.368]]
}



No. 2
{
  "formula": "ZnCuGePt",
  "functional": "PBE",
  "state": "relaxed",
  "sg": "F-43m, No. 216",
  "lattice": [[-3.070, -2.225, 2.171], [0.995, -3.803, 1.906], [0.175, -0.281, 4.356]],
  "species": ["Ge", "Cu", "Zn", "Pt"],
  "frac_coords": [[0.250, 0.250, 0.250], [0.000, 0.000, 0.000], [0.750, 0.750, 0.750], [0.500, 0.500, 0.500]]
}



no.,raw total energy (eV/atom)
1,-6.342
2,-4.194